Entry 1:
First-principles (GGA-PBE) data for a relaxed Na2VIr crystal, as listed in Alexandria via LeMat-Bulk.

The formation energy comes out at 1.0646 eV/atom. The calculated density comes out at 6.45 g/cm3. As for the total energy: -4.090 eV/atom.

The space group is Fm-3m (No. 225) and the conventional cell measures 6.6790, 6.6790 and 6.6790 Å, with angles of 90.00, 90.00 and 90.00 degrees. The asymmetric unit holds Na at (0.2500, 0.2500, 0.2500), V at (0.0000, 0.0000, 0.0000) and Ir at (0.0000, 0.0000, 0.5000).

***

Entry 2:
First-principles (GGA-PBE) data for a relaxed NaV2Ir2 crystal, as listed in Alexandria via LeMat-Bulk.

The formation energy comes out at -0.1757 eV/atom. The calculated density comes out at 10.70 g/cm3. As for the total energy: -7.631 eV/atom.

The space group is P4/mbm (No. 127) and the conventional cell measures 7.6183, 7.6183 and 2.7239 Å, with angles of 90.00, 90.00 and 90.00 degrees. The asymmetric unit holds Na at (0.0000, 0.0000, 0.0000), V at (0.1516, 0.3484, 0.5000) and Ir at (0.1395, 0.6395, 0.0000).

***

Entry 3:
First-principles (GGA-PBE) data for a relaxed Na3VIr crystal, as listed in Alexandria via LeMat-Bulk.

The formation energy comes out at 1.3709 eV/atom. The calculated density comes out at 3.32 g/cm3. As for the total energy: -3.016 eV/atom.

The space group is Pm-3m (No. 221) and the conventional cell measures 5.3839, 5.3839 and 5.3839 Å, with angles of 90.00, 90.00 and 90.00 degrees. The asymmetric unit holds Na at (0.0000, 0.0000, 0.5000), V at (0.5000, 0.5000, 0.5000) and Ir at (0.0000, 0.0000, 0.0000).

***

Entry 4:
First-principles (GGA-PBE) data for a relaxed NaV2Ir crystal, as listed in Alexandria via LeMat-Bulk.

The formation energy comes out at 0.6877 eV/atom. The calculated density comes out at 7.45 g/cm3. As for the total energy: -6.417 eV/atom.

The space group is I-42d (No. 122) and the conventional cell measures 7.2041, 7.2041 and 5.4472 Å, with angles of 90.00, 90.00 and 90.00 degrees. The asymmetric unit holds Na at (0.0000, 0.0000, 0.0000), V at (0.1976, 0.2500, 0.6250) and Ir at (0.0000, 0.0000, 0.5000).

***

Entry 5:
First-principles (GGA-PBE) data for a relaxed NaV2Ir2 crystal, as listed in Alexandria via LeMat-Bulk.

The formation energy comes out at -0.1761 eV/atom. The calculated density comes out at 10.74 g/cm3. As for the total energy: -7.632 eV/atom.

The space group is P4/mbm (No. 127) and the conventional cell measures 7.6212, 7.6212 and 2.7113 Å, with angles of 90.00, 90.00 and 90.00 degrees. The asymmetric unit holds Na at (0.0000, 0.0000, 0.0000), V at (0.1472, 0.3528, 0.0000) and Ir at (0.1441, 0.6441, 0.5000).

***

Entry 6:
First-principles (GGA-PBE) data for a relaxed Na2VIr crystal, as listed in Alexandria via LeMat-Bulk.

The formation energy comes out at 0.8962 eV/atom. The calculated density comes out at 4.07 g/cm3. As for the total energy: -4.258 eV/atom.

The space group is I-42d (No. 122) and the conventional cell measures 10.1239, 10.1239 and 4.6005 Å, with angles of 90.00, 90.00 and 90.00 degrees. The asymmetric unit holds Na at (0.1235, 0.7500, 0.1250), V at (0.0000, 0.0000, 0.5000) and Ir at (0.0000, 0.0000, 0.0000).

***

Entry 7:
First-principles (GGA-PBE) data for a relaxed NaVIr2W crystal, as listed in Alexandria via LeMat-Bulk.

The formation energy comes out at 1.2305 eV/atom. The calculated density comes out at 9.90 g/cm3. As for the total energy: -6.992 eV/atom.

The space group is P4/mmm (No. 123) and the conventional cell measures 4.8308, 4.8308 and 4.6158 Å, with angles of 90.00, 90.00 and 90.00 degrees. The asymmetric unit holds Na at (0.0000, 0.0000, 0.0000), V at (0.5000, 0.5000, 0.0000), Ir at (0.0000, 0.5000, 0.5000) and W at (0.5000, 0.5000, 0.5000).

***

Entry 8:
First-principles (GGA-PBE) data for a relaxed NaIrW2 crystal, as listed in Alexandria via LeMat-Bulk.

The formation energy comes out at 1.0845 eV/atom. The calculated density comes out at 12.83 g/cm3. As for the total energy: -7.937 eV/atom.

The space group is I-42d (No. 122) and the conventional cell measures 7.5419, 7.5419 and 5.3056 Å, with angles of 90.00, 90.00 and 90.00 degrees. The asymmetric unit holds Na at (0.0000, 0.0000, 0.0000), Ir at (0.0000, 0.0000, 0.5000) and W at (0.1982, 0.2500, 0.6250).

***

Entry 9:
First-principles (GGA-PBE) data for a relaxed NaIrW2 crystal, as listed in Alexandria via LeMat-Bulk.

The formation energy comes out at 0.9331 eV/atom. The calculated density comes out at 15.29 g/cm3. As for the total energy: -8.089 eV/atom.

The space group is Fm-3m (No. 225) and the conventional cell measures 6.3270, 6.3270 and 6.3270 Å, with angles of 90.00, 90.00 and 90.00 degrees. The asymmetric unit holds Na at (0.0000, 0.0000, 0.0000), Ir at (0.0000, 0.0000, 0.5000) and W at (0.2500, 0.2500, 0.2500).

***

Entry 10:
First-principles (GGA-PBE) data for a relaxed NaIr3W crystal, as listed in Alexandria via LeMat-Bulk.

The formation energy comes out at 1.2453 eV/atom. The calculated density comes out at 11.78 g/cm3. As for the total energy: -6.926 eV/atom.

The space group is Pm-3m (No. 221) and the conventional cell measures 4.7975, 4.7975 and 4.7975 Å, with angles of 90.00, 90.00 and 90.00 degrees. The asymmetric unit holds Na at (0.0000, 0.0000, 0.0000), Ir at (0.0000, 0.5000, 0.5000) and W at (0.5000, 0.5000, 0.5000).

***

Entry 11:
First-principles (GGA-PBE) data for a relaxed Na3YIr crystal, as listed in Alexandria via LeMat-Bulk.

The formation energy comes out at 1.9715 eV/atom. The calculated density comes out at 3.15 g/cm3. As for the total energy: -1.885 eV/atom.

The space group is Pm-3m (No. 221) and the conventional cell measures 5.6907, 5.6907 and 5.6907 Å, with angles of 90.00, 90.00 and 90.00 degrees. The asymmetric unit holds Na at (0.0000, 0.0000, 0.5000), Y at (0.0000, 0.0000, 0.0000) and Ir at (0.5000, 0.5000, 0.5000).

***

Entry 12:
First-principles (GGA-PBE) data for a relaxed Na2YIr crystal, as listed in Alexandria via LeMat-Bulk.

The formation energy comes out at 0.4218 eV/atom. The calculated density comes out at 6.43 g/cm3. As for the total energy: -4.069 eV/atom.

The space group is Fm-3m (No. 225) and the conventional cell measures 6.9645, 6.9645 and 6.9645 Å, with angles of 90.00, 90.00 and 90.00 degrees. The asymmetric unit holds Na at (0.2500, 0.2500, 0.2500), Y at (0.0000, 0.0000, 0.0000) and Ir at (0.0000, 0.0000, 0.5000).

***

Entry 13:
First-principles (GGA-PBE) data for a relaxed Na2YIr crystal, as listed in Alexandria via LeMat-Bulk.

The formation energy comes out at 0.0842 eV/atom. The calculated density comes out at 5.67 g/cm3. As for the total energy: -4.407 eV/atom.

The space group is I-42d (No. 122) and the conventional cell measures 4.0330, 4.0330 and 23.5389 Å, with angles of 90.00, 90.00 and 90.00 degrees. The asymmetric unit holds Na at (0.2194, 0.2500, 0.1250), Y at (0.0000, 0.0000, 0.5000) and Ir at (0.0000, 0.0000, 0.0000).

***

Entry 14:
First-principles (GGA-PBE) data for a relaxed Na3YIr crystal, as listed in Alexandria via LeMat-Bulk.

The formation energy comes out at 0.8853 eV/atom. The calculated density comes out at 3.86 g/cm3. As for the total energy: -2.971 eV/atom.

The space group is Pm-3m (No. 221) and the conventional cell measures 5.3207, 5.3207 and 5.3207 Å, with angles of 90.00, 90.00 and 90.00 degrees. The asymmetric unit holds Na at (0.0000, 0.0000, 0.5000), Y at (0.5000, 0.5000, 0.5000) and Ir at (0.0000, 0.0000, 0.0000).

***

Entry 15:
First-principles (GGA-PBE) data for a relaxed NaYIr4 crystal, as listed in Alexandria via LeMat-Bulk.

The formation energy comes out at -0.3556 eV/atom. The calculated density comes out at 13.77 g/cm3. As for the total energy: -7.560 eV/atom.

The space group is F-43m (No. 216) and the conventional cell measures 7.5183, 7.5183 and 7.5183 Å, with angles of 90.00, 90.00 and 90.00 degrees. The asymmetric unit holds Na at (0.0000, 0.0000, 0.0000), Y at (0.2500, 0.2500, 0.2500) and Ir at (0.1252, 0.1252, 0.6252).

***

Entry 16:
First-principles (GGA-PBE) data for a relaxed NaYZn2Ir crystal, as listed in Alexandria via LeMat-Bulk.

The formation energy comes out at 1.7573 eV/atom. The calculated density comes out at 4.95 g/cm3. As for the total energy: -2.081 eV/atom.

The space group is P4/mmm (No. 123) and the conventional cell measures 5.1696, 5.1696 and 5.4611 Å, with angles of 90.00, 90.00 and 90.00 degrees. The asymmetric unit holds Na at (0.0000, 0.0000, 0.0000), Y at (0.0000, 0.0000, 0.5000), Zn at (0.0000, 0.5000, 0.5000) and Ir at (0.5000, 0.5000, 0.0000).

***

Entry 17:
First-principles (GGA-PBE) data for a relaxed Na2Zn2Ir crystal, as listed in Alexandria via LeMat-Bulk.

The formation energy comes out at 0.1077 eV/atom. The calculated density comes out at 5.98 g/cm3. As for the total energy: -2.702 eV/atom.

The space group is P4/mbm (No. 127) and the conventional cell measures 6.4764, 6.4764 and 4.8856 Å, with angles of 90.00, 90.00 and 90.00 degrees. The asymmetric unit holds Na at (0.1854, 0.3146, 0.0000), Zn at (0.1443, 0.6443, 0.5000) and Ir at (0.0000, 0.0000, 0.5000).

***

Entry 18:
First-principles (GGA-PBE) data for a relaxed NaZnIr3 crystal, as listed in Alexandria via LeMat-Bulk.

The formation energy comes out at 2.2151 eV/atom. The calculated density comes out at 12.22 g/cm3. As for the total energy: -3.620 eV/atom.

The space group is Pm-3m (No. 221) and the conventional cell measures 4.4881, 4.4881 and 4.4881 Å, with angles of 90.00, 90.00 and 90.00 degrees. The asymmetric unit holds Na at (0.0000, 0.0000, 0.0000), Zn at (0.5000, 0.5000, 0.5000) and Ir at (0.0000, 0.0000, 0.5000).

***

Entry 19:
First-principles (GGA-PBE) data for a relaxed NaZn2Ir crystal, as listed in Alexandria via LeMat-Bulk.

The formation energy comes out at 0.0327 eV/atom. The calculated density comes out at 7.23 g/cm3. As for the total energy: -3.149 eV/atom.

The space group is R-3m (No. 166, hexagonal axes) and the conventional cell measures 4.2965, 4.2965 and 14.9194 Å, with angles of 90.00, 90.00 and 120.00 degrees. The asymmetric unit holds Na at (0.0000, 0.0000, 0.0000), Zn at (0.0000, 0.0000, 0.2031) and Ir at (0.0000, 0.0000, 0.5000).

***

Entry 20:
First-principles (GGA-PBE) data for a relaxed Na2Zn2Ir crystal, as listed in Alexandria via LeMat-Bulk.

The formation energy comes out at 0.5543 eV/atom. The calculated density comes out at 5.69 g/cm3. As for the total energy: -2.255 eV/atom.

The space group is I4/mmm (No. 139) and the conventional cell measures 3.3232, 3.3232 and 19.4921 Å, with angles of 90.00, 90.00 and 90.00 degrees. The asymmetric unit holds Na at (0.0000, 0.0000, 0.0961), Zn at (0.0000, 0.5000, 0.2500) and Ir at (0.0000, 0.0000, 0.5000).